Density functional theory data (PBEsol) for an optimized crystal structure of NiTe4Se.

Output
formation energy (no corrections): 909 meV/atom
mass density: 6.8 Mg/m³

Cell lengths 6.0708, 6.0708, 6.0708 Å; angles 60.00, 60.00, 60.00 degrees
Atoms (fractional coordinates):
Ni 0.7500 0.7500 0.7500
Te 0.3747 0.3747 0.8760
Te 0.3747 0.8760 0.3747
Te 0.8760 0.3747 0.3747
Se 0.0000 0.0000 0.0000
Te 0.3747 0.3747 0.3747


Density functional theory data (PBEsol) for an optimized crystal structure of NiTeSe2.

Output
formation energy (no corrections): -164 meV/atom
mass density: 6.6 Mg/m³

Cell lengths 3.5451, 3.5451, 8.2733 Å; angles 77.63, 77.63, 60.00 degrees
Atoms (fractional coordinates):
Te 0.0000 0.0000 0.0000
Se 0.8843 0.8843 0.3471
Ni 0.5000 0.5000 0.5000
Se 0.1157 0.1157 0.6529


Density functional theory data (PBEsol) for an optimized crystal structure of Ni2TeSe.

Output
formation energy (no corrections): 161 meV/atom
excess energy over the best structure of this formula in the dataset: 0.357 eV per atom
mass density: 7.8 Mg/m³

Cell lengths 4.4867, 4.4814, 4.4814 Å; angles 102.59, 112.93, 112.93 degrees
Atoms (fractional coordinates):
Se 0.5000 0.0000 0.0000
Ni 0.0000 0.0000 0.5000
Ni 0.0000 0.5000 0.0000
Te 0.5000 0.5000 0.5000


Density functional theory data (PBEsol) for an optimized crystal structure of NiTe2Se.

Output
formation energy (no corrections): -54 meV/atom
mass density: 7.5 Mg/m³

Cell lengths 3.8229, 4.9823, 4.9823 Å; angles 113.57, 90.00, 90.00 degrees
Atoms (fractional coordinates):
Te 0.0000 0.6952 0.3048
Ni 0.5000 0.5000 0.5000
Se 0.5000 0.0000 0.0000
Te 0.0000 0.3048 0.6952


Density functional theory data (PBEsol) for an optimized crystal structure of NiTeSe2.

Output
formation energy (no corrections): 223 meV/atom
mass density: 7.3 Mg/m³

Cell lengths 3.1013, 3.1013, 8.1108 Å; angles 90.00, 90.00, 90.00 degrees
Atoms (fractional coordinates):
Se 0.0000 0.0000 0.9154
Ni 0.5000 0.5000 0.7899
Te 0.0000 0.0000 0.5441
Se 0.5000 0.5000 0.2507


Density functional theory data (PBEsol) for an optimized crystal structure of Ni3TeSe.

Output
formation energy (no corrections): 907 meV/atom
mass density: 6.5 Mg/m³

Cell lengths 4.6061, 4.6061, 4.6061 Å; angles 90.00, 90.00, 90.00 degrees
Atoms (fractional coordinates):
Ni 0.0000 0.5000 0.0000
Ni 0.5000 0.0000 0.0000
Te 0.0000 0.0000 0.0000
Se 0.5000 0.5000 0.5000
Ni 0.0000 0.0000 0.5000


Density functional theory data (PBEsol) for an optimized crystal structure of NiTeSe2.

Output
formation energy (no corrections): 480 meV/atom
mass density: 7.6 Mg/m³

Cell lengths 3.3886, 4.7173, 4.7173 Å; angles 90.00, 90.00, 90.00 degrees
Atoms (fractional coordinates):
Ni 0.5000 0.0000 0.0000
Te 0.5000 0.5000 0.5000
Se 0.0000 0.0000 0.5000
Se 0.0000 0.5000 0.0000


Density functional theory data (PBEsol) for an optimized crystal structure of Ni2TeSe.

Output
formation energy (no corrections): 599 meV/atom
excess energy over the best structure of this formula in the dataset: 0.795 eV per atom
mass density: 8.3 Mg/m³

Cell lengths 4.5163, 4.5163, 4.5163 Å; angles 60.00, 60.00, 60.00 degrees
Atoms (fractional coordinates):
Te 0.2500 0.2500 0.2500
Ni 0.0000 0.0000 0.0000
Se 0.5000 0.5000 0.5000
Ni 0.7500 0.7500 0.7500


Density functional theory data (PBEsol) for an optimized crystal structure of Ni2TeSe.

Output
formation energy (no corrections): -180 meV/atom
excess energy over the best structure of this formula in the dataset: 0.016 eV per atom
mass density: 7.8 Mg/m³

Cell lengths 3.2312, 3.2312, 6.6203 Å; angles 90.00, 90.00, 90.00 degrees
Atoms (fractional coordinates):
Ni 0.0000 0.0000 0.0343
Te 0.5000 0.5000 0.8477
Ni 0.5000 0.5000 0.2369
Se 0.0000 0.0000 0.3811


Density functional theory data (PBEsol) for an optimized crystal structure of NiTeSe2.

Output
formation energy (no corrections): 489 meV/atom
mass density: 7.8 Mg/m³

Cell lengths 4.6989, 4.6989, 4.6989 Å; angles 60.00, 60.00, 60.00 degrees
Atoms (fractional coordinates):
Se 0.2500 0.2500 0.2500
Se 0.0000 0.0000 0.0000
Te 0.7500 0.7500 0.7500
Ni 0.5000 0.5000 0.5000


Density functional theory data (PBEsol) for an optimized crystal structure of Ti2NiSe4.

Output
formation energy (no corrections): -990 meV/atom
mass density: 6.3 Mg/m³

Cell lengths 3.5141, 6.0472, 6.7726 Å; angles 116.15, 105.04, 90.00 degrees
Atoms (fractional coordinates):
Ti 0.7491 0.7387 0.4981
Ti 0.2509 0.2613 0.5019
Se 0.1144 0.4520 0.2287
Ni 0.0000 0.0000 0.0000
Se 0.8856 0.5480 0.7713
Se 0.3810 0.0492 0.7620
Se 0.6190 0.9508 0.2380


Density functional theory data (PBEsol) for an optimized crystal structure of TlNiSe.

Output
formation energy (no corrections): -39 meV/atom
mass density: 9.3 Mg/m³

Cell lengths 3.1772, 3.1772, 6.4417 Å; angles 104.28, 104.28, 90.00 degrees
Atoms (fractional coordinates):
Tl 0.3475 0.3475 0.6950
Se 0.6088 0.6088 0.2177
Ni 0.0437 0.0437 0.0873


Density functional theory data (PBEsol) for an optimized crystal structure of TlNiSe.

Output
formation energy (no corrections): 44 meV/atom
mass density: 9.7 Mg/m³

Cell lengths 4.3603, 4.3603, 4.3603 Å; angles 60.00, 60.00, 60.00 degrees
Atoms (fractional coordinates):
Ni 0.2500 0.2500 0.2500
Tl 0.5000 0.5000 0.5000
Se 0.0000 0.0000 0.0000


Density functional theory data (PBEsol) for an optimized crystal structure of Ni2WSe.

Output
formation energy (no corrections): 286 meV/atom
mass density: 12.2 Mg/m³

Cell lengths 3.0175, 4.1476, 4.1445 Å; angles 90.00, 90.00, 90.00 degrees
Atoms (fractional coordinates):
Se 0.5000 0.5000 0.0000
Ni 0.5000 0.0000 0.5000
Ni 0.0000 0.0000 0.0000
W 0.0000 0.5000 0.5000


Density functional theory data (PBEsol) for an optimized crystal structure of Y2NiSe.

Output
formation energy (no corrections): -963 meV/atom
mass density: 5.9 Mg/m³

Cell lengths 3.9504, 3.9504, 5.6804 Å; angles 90.00, 90.00, 90.00 degrees
Atoms (fractional coordinates):
Se 0.5000 0.5000 0.5000
Y 0.0000 0.0000 0.5000
Y 0.5000 0.5000 0.0000
Ni 0.0000 0.0000 0.0000


Density functional theory data (PBEsol) for an optimized crystal structure of Y2NiSe.

Output
formation energy (no corrections): -1033 meV/atom
mass density: 5.9 Mg/m³

Cell lengths 3.8530, 3.8530, 7.2478 Å; angles 74.59, 74.59, 60.00 degrees
Atoms (fractional coordinates):
Y 0.2428 0.2428 0.2717
Ni 0.5000 0.5000 0.5000
Y 0.7572 0.7572 0.7283
Se 0.0000 0.0000 0.0000


Density functional theory data (PBEsol) for an optimized crystal structure of Y2NiSe.

Output
formation energy (no corrections): -994 meV/atom
mass density: 6.4 Mg/m³

Cell lengths 3.8693, 4.0128, 5.5971 Å; angles 90.00, 110.22, 90.00 degrees
Atoms (fractional coordinates):
Y 0.7292 0.3749 0.4585
Ni 0.4573 0.3751 0.9146
Y 0.0152 0.8750 0.0305
Se 0.2982 0.8749 0.5964


Density functional theory data (PBEsol) for an optimized crystal structure of ZnNiSe.

Output
formation energy (no corrections): -219 meV/atom
mass density: 7.4 Mg/m³

Cell lengths 4.0085, 4.0085, 4.0085 Å; angles 60.00, 60.00, 60.00 degrees
Atoms (fractional coordinates):
Ni 0.2500 0.2500 0.2500
Zn 0.5000 0.5000 0.5000
Se 0.0000 0.0000 0.0000


Density functional theory data (PBEsol) for an optimized crystal structure of Zn2NiSe.

Output
formation energy (no corrections): 37 meV/atom
mass density: 7.8 Mg/m³

Cell lengths 3.5101, 3.8944, 4.6725 Å; angles 103.09, 112.06, 90.00 degrees
Atoms (fractional coordinates):
Zn 0.2434 0.2246 0.4868
Zn 0.7566 0.7754 0.5132
Ni 0.5000 0.0000 0.0000
Se 0.0000 0.5000 0.0000


Density functional theory data (PBEsol) for an optimized crystal structure of ZnNiSe2.

Output
formation energy (no corrections): 134 meV/atom
mass density: 6.0 Mg/m³

Cell lengths 3.4210, 3.4446, 6.6695 Å; angles 90.00, 90.00, 90.00 degrees
Atoms (fractional coordinates):
Zn 0.5000 0.5000 0.0000
Se 0.0000 0.5000 0.5000
Ni 0.5000 0.0000 0.5000
Se 0.0000 0.0000 0.0000